Record 1
EuHoSb2 after structural relaxation. Source: Alexandria via LeMat-Bulk, functional PBE.

The structure in extended XYZ format:
```
4
Lattice="3.7492 0.0000 0.0000 0.0000 3.7492 0.0000 0.0000 0.0000 8.1916" Properties=species:S:1:pos:R:3 pbc="T T T"
Eu 0.0000 0.0000 0.0000
Ho 0.0000 0.0000 4.0958
Sb 1.8746 1.8746 2.1827
Sb 1.8746 1.8746 6.0089
```

Calculated values
Mass density   8.08 g/cm3
Uncorrected formation energy   -0.831 eV per atom
Distance to the lowest polymorph of the same formula   165 meV/atom
Space group   P4/mmm
Total magnetization   7.0 μB per cell
Raw total energy   -26.421 eV per cell



Record 2
ScCuAg2 after structural relaxation. Source: Alexandria via LeMat-Bulk, functional PBE.

The structure in extended XYZ format:
```
4
Lattice="-2.0752 2.0752 4.0240 2.0752 -2.0752 4.0240 2.0752 2.0752 -4.0240" Properties=species:S:1:pos:R:3 pbc="T T T"
Sc 0.0000 0.0000 0.0000
Cu 0.0000 2.0752 2.0120
Ag 2.0752 0.0000 2.0120
Ag 0.0000 0.0000 4.0240
```

Calculated values
Mass density   7.77 g/cm3
Formation energy from the elements   -0.1470 eV per atom
Distance to the lowest polymorph of the same formula   0 meV/atom
Space group   I-4m2
Total magnetization   0.0 μB per cell
Raw total energy   -16.718 eV per cell



Record 3
K4DySb3O12 after structural relaxation. Source: Alexandria via LeMat-Bulk, functional PBE.

The structure in extended XYZ format:
```
20
Lattice="-4.1444 4.1444 4.1444 4.1444 -4.1444 4.1444 4.1444 4.1444 -4.1444" Properties=species:S:1:pos:R:3 pbc="T T T"
K 2.0722 2.0722 -2.0722
K 2.0722 -2.0722 2.0722
K -2.0722 2.0722 2.0722
K 2.0722 2.0722 2.0722
Dy 0.0000 0.0000 0.0000
Sb 4.1444 0.0000 0.0000
Sb 0.0000 4.1444 0.0000
Sb 0.0000 0.0000 4.1444
O 2.2184 0.0000 0.0000
O 6.0705 0.0000 0.0000
O 4.1444 2.0722 0.0000
O 4.1444 0.0000 2.0722
O 0.0000 2.2184 0.0000
O 0.0000 0.0000 2.2184
O 2.0722 4.1444 0.0000
O 2.0722 0.0000 4.1444
O 0.0000 6.0705 0.0000
O 0.0000 0.0000 6.0705
O 0.0000 4.1444 2.0722
O 0.0000 2.0722 4.1444
```

Calculated values
Mass density   5.11 g/cm3
Uncorrected formation energy   -1.679 eV per atom
Space group   Im-3m
Total magnetization   1.6 μB per cell
Raw total energy   -114.442 eV per cell